No. 1
Here is a geometry-optimized B3P structure from the Alexandria database. Energies are from PBE.

Cell: 2.829 2.829 15.618 Å, 90.00 90.00 120.00°
Positions (direct):
B (0.333, 0.667, 0.667)
B (0.667, 0.333, 0.963)
P (0.333, 0.667, 0.167)
B (0.000, 0.000, 0.370)
B (0.000, 0.000, 0.000)
B (0.333, 0.667, 0.296)
B (0.000, 0.000, 0.630)
P (0.000, 0.000, 0.500)
B (0.333, 0.667, 0.037)
B (0.667, 0.333, 0.333)
B (0.667, 0.333, 0.704)
P (0.667, 0.333, 0.833)

Properties
- E_form (eV per formula unit) = 1.76
- Fermi-level density of states (states/eV/f.u.) = 0.8
- DFT total energy (eV per cell) = -71.0
- ΔE to the lowest computed polymorph (kJ/mol of atoms) = 29.69

---

No. 2
Here is a geometry-optimized BP2 structure from the Alexandria database. Energies are from PBE.

Cell: 2.512 3.128 6.305 Å, 86.08 81.56 65.61°
Positions (direct):
B (0.692, 0.966, 0.289)
P (0.465, 0.547, 0.122)
P (0.568, 0.980, 0.599)

Properties
- E_form (eV per formula unit) = 1.21
- Fermi-level density of states (states/eV/f.u.) = 0.7
- DFT total energy (eV per cell) = -16.3
- ΔE to the lowest computed polymorph (kJ/mol of atoms) = 27.83

---

No. 3
Here is a geometry-optimized BP2 structure from the Alexandria database. Energies are from PBE.

Cell: 3.126 3.079 8.411 Å, 90.00 90.00 90.00°
Positions (direct):
B (0.500, 0.000, 0.818)
P (0.000, 0.500, 0.470)
P (0.500, 0.500, 0.685)
B (0.500, 0.500, 0.318)
P (0.000, 0.000, 0.970)
P (0.500, 0.000, 0.185)

Properties
- E_form (eV per formula unit) = 0.67
- Fermi-level density of states (states/eV/f.u.) = 0.6
- DFT total energy (eV per cell) = -33.7
- ΔE to the lowest computed polymorph (kJ/mol of atoms) = 10.32

---

Question: The lowest ΔE to the lowest computed polymorph belongs to which entry?
Answer: number 3

---

Question: Which of these has the highest DFT total energy?
Answer: number 2

---

Question: Which of these has the highest DFT total energy?
Answer: number 2

---

Question: Which of these has the lowest ΔE to the lowest computed polymorph?
Answer: number 3